The following is a PBE calculation of an optimized crystal structure of Ca2CuAgOs, from Alexandria via LeMat-Bulk.

Results
DFT formation energy: 523 kJ/mol of formula units
Calculated total energy: -16.8 eV for the cell shown
Magnetic moment: 1.718 μB/f.u.

a b c (Å): 5.437 5.437 4.643
angles (deg): 90.00 90.00 90.00
Positions (direct):
Ca1 0.000 0.500 0.000
Ca2 0.500 0.000 0.000
Cu1 0.000 0.000 0.500
Ag1 0.000 0.000 0.000
Os1 0.500 0.500 0.500